No. 1
Computed, not measured: a relaxed structure of Sr2P2Ir at the PBE level of DFT.

**Spin magnetization**: 0.0 Bohr magnetons per cell
**SG**: P4/mbm (127)
**E**: -5.282 eV per atom

Unit cell a=6.516 b=6.516 c=4.803 alpha=90.00 beta=90.00 gamma=90.00
Sites, in units of the cell vectors:
1 Sr 0.177 0.323 0.000
2 Sr 0.323 0.823 0.000
3 Sr 0.677 0.177 0.000
4 Sr 0.823 0.677 0.000
5 P 0.134 0.634 0.500
6 P 0.366 0.134 0.500
7 P 0.634 0.866 0.500
8 P 0.866 0.366 0.500
9 Ir 0.000 0.000 0.500
10 Ir 0.500 0.500 0.500

***

No. 2
Computed, not measured: a relaxed structure of Li2SmBiSe4 at the PBE level of DFT.

**Spin magnetization**: 0.0 Bohr magnetons per cell
**Formation energy from raw total energies**: -115.6 kJ/mol of atoms
**SG**: P2/m (10)
**E**: -4.494 eV per atom

Unit cell a=6.988 b=4.151 c=7.196 alpha=90.00 beta=110.08 gamma=90.00
Sites, in units of the cell vectors:
1 Li 0.000 0.000 0.000
2 Li 0.000 0.500 0.500
3 Sm 0.500 0.000 0.500
4 Bi 0.500 0.500 0.000
5 Se 0.237 0.000 0.744
6 Se 0.241 0.500 0.248
7 Se 0.759 0.500 0.752
8 Se 0.763 0.000 0.256

***

No. 3
Computed, not measured: a relaxed structure of Pm2HBr3 at the PBE level of DFT.

**Spin magnetization**: 1.8 Bohr magnetons per cell
**SG**: C2/m (12)
**E**: -4.389 eV per atom

Unit cell a=9.079 b=9.079 c=11.410 alpha=119.44 beta=119.44 gamma=25.13
Sites, in units of the cell vectors:
1 Pm 0.077 0.077 0.459
2 Pm 0.361 0.361 0.201
3 Pm 0.639 0.639 0.799
4 Pm 0.923 0.923 0.541
5 H 0.078 0.078 0.666
6 H 0.922 0.922 0.334
7 Br 0.163 0.163 0.013
8 Br 0.283 0.283 0.381
9 Br 0.460 0.460 0.759
10 Br 0.540 0.540 0.241
11 Br 0.717 0.717 0.619
12 Br 0.837 0.837 0.987

***

No. 4
Computed, not measured: a relaxed structure of Ac2CrNi3As4 at the PBE level of DFT.

**Spin magnetization**: 3.5 Bohr magnetons per cell
**SG**: P-4m2 (115)
**E**: -6.111 eV per atom

Unit cell a=4.355 b=4.355 c=9.925 alpha=90.00 beta=90.00 gamma=90.00
Sites, in units of the cell vectors:
1 Ac 0.000 0.500 0.243
2 Ac 0.500 0.000 0.757
3 Cr 0.000 0.000 0.500
4 Ni 0.000 0.500 0.890
5 Ni 0.500 0.000 0.110
6 Ni 0.500 0.500 0.500
7 As 0.000 0.000 0.000
8 As 0.000 0.500 0.634
9 As 0.500 0.000 0.366
10 As 0.500 0.500 0.000

***

No. 5
Computed, not measured: a relaxed structure of LiErMgSn at the PBE level of DFT.

**Spin magnetization**: 0.0 Bohr magnetons per cell
**SG**: F-43m (216)
**E**: -3.346 eV per atom

Unit cell a=5.079 b=5.079 c=5.079 alpha=60.00 beta=60.00 gamma=60.00
Sites, in units of the cell vectors:
1 Li 0.000 0.000 0.000
2 Er 0.500 0.500 0.500
3 Mg 0.250 0.250 0.250
4 Sn 0.750 0.750 0.750

***

No. 6
Computed, not measured: a relaxed structure of GeTeOsI2 at the PBE level of DFT.

**Spin magnetization**: 4.7 Bohr magnetons per cell
**Formation energy from raw total energies**: 142.3 kJ/mol of atoms
**SG**: P4/mmm (123)
**E**: -2.943 eV per atom

Unit cell a=5.618 b=5.618 c=5.532 alpha=90.00 beta=90.00 gamma=90.00
Sites, in units of the cell vectors:
1 Ge 0.000 0.000 0.000
2 Te 0.000 0.000 0.500
3 Os 0.500 0.500 0.500
4 I 0.000 0.500 0.000
5 I 0.500 0.000 0.000

***

No. 7
Computed, not measured: a relaxed structure of Ba3Y3PuTe8 at the PBE level of DFT.

**Spin magnetization**: 5.7 Bohr magnetons per cell
**Formation energy from raw total energies**: -142.9 kJ/mol of atoms
**SG**: R-3m (166)
**E**: -5.790 eV per atom

Unit cell a=9.524 b=9.524 c=9.524 alpha=56.77 beta=56.77 gamma=56.77
Sites, in units of the cell vectors:
1 Ba 0.000 0.500 0.500
2 Ba 0.500 0.000 0.500
3 Ba 0.500 0.500 0.000
4 Y 0.000 0.000 0.500
5 Y 0.000 0.500 0.000
6 Y 0.500 0.000 0.000
7 Pu 0.500 0.500 0.500
8 Te 0.229 0.745 0.745
9 Te 0.239 0.239 0.239
10 Te 0.255 0.255 0.771
11 Te 0.255 0.771 0.255
12 Te 0.745 0.229 0.745
13 Te 0.745 0.745 0.229
14 Te 0.761 0.761 0.761
15 Te 0.771 0.255 0.255

***

No. 8
Computed, not measured: a relaxed structure of LiLa2SnRu at the PBE level of DFT.

**Spin magnetization**: 0.0 Bohr magnetons per cell
**SG**: P4/mmm (123)
**E**: -5.277 eV per atom

Unit cell a=5.475 b=5.475 c=5.216 alpha=90.00 beta=90.00 gamma=90.00
Sites, in units of the cell vectors:
1 Li 0.000 0.000 0.000
2 La 0.000 0.500 0.500
3 La 0.500 0.000 0.500
4 Sn 0.500 0.500 0.000
5 Ru 0.500 0.500 0.500

***

No. 9
Computed, not measured: a relaxed structure of RbMnI3 at the PBE level of DFT.

**Spin magnetization**: 10.0 Bohr magnetons per cell
**Formation energy from raw total energies**: -78.3 kJ/mol of atoms
**SG**: R-3 (148)
**E**: -3.769 eV per atom

Unit cell a=9.364 b=9.364 c=9.364 alpha=49.25 beta=49.25 gamma=49.25
Sites, in units of the cell vectors:
1 Rb 0.149 0.149 0.149
2 Rb 0.851 0.851 0.851
3 Mn 0.334 0.334 0.334
4 Mn 0.666 0.666 0.666
5 I 0.066 0.684 0.453
6 I 0.316 0.547 0.934
7 I 0.453 0.066 0.684
8 I 0.547 0.934 0.316
9 I 0.684 0.453 0.066
10 I 0.934 0.316 0.547

***

No. 10
Computed, not measured: a relaxed structure of Li2ZrTlCl8 at the PBE level of DFT.

**Spin magnetization**: 0.0 Bohr magnetons per cell
**Formation energy from raw total energies**: -144.0 kJ/mol of atoms
**SG**: P2/m (10)
**E**: -3.952 eV per atom

Unit cell a=6.139 b=8.301 c=6.197 alpha=90.00 beta=94.56 gamma=90.00
Sites, in units of the cell vectors:
1 Li 0.000 0.249 0.000
2 Li 0.000 0.751 0.000
3 Zr 0.500 0.000 0.500
4 Tl 0.500 0.500 0.500
5 Cl 0.177 0.500 0.173
6 Cl 0.207 0.000 0.196
7 Cl 0.299 0.212 0.689
8 Cl 0.299 0.788 0.689
9 Cl 0.701 0.212 0.311
10 Cl 0.701 0.788 0.311
11 Cl 0.793 0.000 0.804
12 Cl 0.823 0.500 0.827

***

No. 11
Computed, not measured: a relaxed structure of La2TeC at the PBE level of DFT.

**Spin magnetization**: 0.0 Bohr magnetons per cell
**Formation energy from raw total energies**: -0.8 kJ/mol of atoms
**SG**: Fm-3m (225)
**E**: -5.564 eV per atom

Unit cell a=5.218 b=5.218 c=5.218 alpha=60.00 beta=60.00 gamma=60.00
Sites, in units of the cell vectors:
1 La 0.250 0.250 0.250
2 La 0.750 0.750 0.750
3 Te 0.000 0.000 0.000
4 C 0.500 0.500 0.500

***

No. 12
Computed, not measured: a relaxed structure of NaLiGdCd at the PBE level of DFT.

**Spin magnetization**: 8.0 Bohr magnetons per cell
**SG**: F-43m (216)
**E**: -4.537 eV per atom

Unit cell a=5.285 b=5.285 c=5.285 alpha=60.00 beta=60.00 gamma=60.00
Sites, in units of the cell vectors:
1 Na 0.000 0.000 0.000
2 Li 0.750 0.750 0.750
3 Gd 0.500 0.500 0.500
4 Cd 0.250 0.250 0.250